Entry 1:
ZnAg2O4: optimized geometry, PBE. Values from VASP.

Cell and atoms, written as Quantum ESPRESSO input:
```
&SYSTEM
  ibrav = 0, nat = 14, ntyp = 3
/
ATOMIC_SPECIES
Zn 65.41 Zn.upf
Ag 107.87 Ag.upf
O 16.00 O.upf
ATOMIC_POSITIONS crystal
Zn 0.125 0.125 0.125
Zn 0.875 0.875 0.875
Ag 0.000 0.500 0.500
Ag 0.500 0.000 0.500
Ag 0.500 0.500 0.000
Ag 0.500 0.500 0.500
O 0.254 0.254 0.254
O 0.254 0.254 0.739
O 0.254 0.739 0.254
O 0.261 0.746 0.746
O 0.739 0.254 0.254
O 0.746 0.261 0.746
O 0.746 0.746 0.261
O 0.746 0.746 0.746
CELL_PARAMETERS angstrom
0.000 4.502 4.502
4.502 0.000 4.502
4.502 4.502 0.000
```

Results
Symmetry: Fd-3m
Energy above the most stable polymorph in this dataset: 100 meV per atom

=====

Entry 2:
CdCoSeS2: optimized geometry, PBE. Values from VASP.

Cell and atoms, written as Quantum ESPRESSO input:
```
&SYSTEM
  ibrav = 0, nat = 5, ntyp = 4
/
ATOMIC_SPECIES
Cd 112.41 Cd.upf
Co 58.93 Co.upf
Se 78.96 Se.upf
S 32.06 S.upf
ATOMIC_POSITIONS crystal
Cd 0.000 0.000 0.000
Co 0.500 0.500 0.500
Se 0.500 0.500 0.000
S 0.000 0.500 0.500
S 0.500 0.000 0.500
CELL_PARAMETERS angstrom
4.299 0.000 0.000
0.000 4.299 0.000
0.000 0.000 5.407
```

Results
Total energy: -18.94 eV for the cell shown
Symmetry: P4/mmm

=====

Entry 3:
SrGeN3: optimized geometry, PBE. Values from VASP.

Cell and atoms, written as Quantum ESPRESSO input:
```
&SYSTEM
  ibrav = 0, nat = 10, ntyp = 3
/
ATOMIC_SPECIES
Sr 87.62 Sr.upf
Ge 72.64 Ge.upf
N 14.01 N.upf
ATOMIC_POSITIONS crystal
Sr 0.044 0.250 0.303
Sr 0.956 0.750 0.697
Ge 0.498 0.250 0.932
Ge 0.502 0.750 0.068
N 0.003 0.750 0.160
N 0.245 0.750 0.486
N 0.469 0.750 0.403
N 0.531 0.250 0.597
N 0.755 0.250 0.514
N 0.997 0.250 0.840
CELL_PARAMETERS angstrom
3.381 0.000 0.000
0.000 4.182 0.000
-0.056 0.000 10.894
```

Results
Total energy: -63.87 eV for the cell shown
Symmetry: P2_1/m